[1]
## Si2AgN3 (GGA-PBE)

Data for an optimized crystal structure of Si2AgN3.

Summary:
- energy relative to the lowest polymorph listed for this composition (meV per atom) = 0.0
- formation energy (no corrections) (eV/atom) = -0.632
- VASP energy (eV per cell) = -169.866

The structure in CIF format:
```
data_Si2AgN3
_symmetry_space_group_name_H-M 'C m c 21'
_symmetry_Int_Tables_number 36
_cell_length_a 9.5388
_cell_length_b 5.5515
_cell_length_c 4.9642
_cell_angle_alpha 90.00
_cell_angle_beta 90.00
_cell_angle_gamma 90.00
loop_
_symmetry_equiv_pos_as_xyz
'x,y,z'
'-x,-y,z+1/2'
'-x,y,z'
'x,-y,z+1/2'
'x+1/2,y+1/2,z'
'-x+1/2,-y+1/2,z+1/2'
'-x+1/2,y+1/2,z'
'x+1/2,-y+1/2,z+1/2'
loop_
_atom_site_label
_atom_site_fract_x
_atom_site_fract_y
_atom_site_fract_z
_atom_site_occupancy
Si1 0.1717 0.1506 0.0000 1
Ag1 0.0000 0.3643 0.5021 1
N1 0.0000 0.2176 0.9444 1
N2 0.2162 0.1302 0.3476 1
```

---

[2]
## Si3AgN (GGA-PBE)

Data for an optimized crystal structure of Si3AgN.

Summary:
- energy relative to the lowest polymorph listed for this composition (meV per atom) = 0.0
- formation energy (no corrections) (eV/atom) = 0.705
- VASP energy (eV per cell) = -23.919

The structure in CIF format:
```
data_Si3AgN
_symmetry_space_group_name_H-M 'P m -3 m'
_symmetry_Int_Tables_number 221
_symmetry_space_group_name_Hall '-P 4 2 3'
_cell_length_a 4.1195
_cell_length_b 4.1195
_cell_length_c 4.1195
_cell_angle_alpha 90.00
_cell_angle_beta 90.00
_cell_angle_gamma 90.00
loop_
_atom_site_label
_atom_site_fract_x
_atom_site_fract_y
_atom_site_fract_z
_atom_site_occupancy
Si1 0.0000 0.0000 0.5000 1
Ag1 0.5000 0.5000 0.5000 1
N1 0.0000 0.0000 0.0000 1
```

---

[3]
## SiAg2N (GGA-PBE)

Data for an optimized crystal structure of SiAg2N.

Summary:
- energy relative to the lowest polymorph listed for this composition (meV per atom) = 78.7
- formation energy (no corrections) (eV/atom) = 1.127
- VASP energy (eV per cell) = -59.770

The structure in CIF format:
```
data_SiAg2N
_symmetry_space_group_name_H-M 'I -4 2 d'
_symmetry_Int_Tables_number 122
_symmetry_space_group_name_Hall 'I -4 2bw'
_cell_length_a 5.5087
_cell_length_b 5.5087
_cell_length_c 9.8214
_cell_angle_alpha 90.00
_cell_angle_beta 90.00
_cell_angle_gamma 90.00
loop_
_atom_site_label
_atom_site_fract_x
_atom_site_fract_y
_atom_site_fract_z
_atom_site_occupancy
Si1 0.0000 0.0000 0.0000 1
Ag1 0.1903 0.2500 0.6250 1
N1 0.0000 0.0000 0.5000 1
```

---

[4]
## SiAg2N2 (GGA-PBE)

Data for an optimized crystal structure of SiAg2N2.

Summary:
- energy relative to the lowest polymorph listed for this composition (meV per atom) = 0.0
- formation energy (no corrections) (eV/atom) = 0.707
- VASP energy (eV per cell) = -48.482

The structure in CIF format:
```
data_SiAg2N2
_symmetry_space_group_name_H-M 'P 4/m b m'
_symmetry_Int_Tables_number 127
_symmetry_space_group_name_Hall '-P 4 2ab'
_cell_length_a 5.1748
_cell_length_b 5.1748
_cell_length_c 4.8618
_cell_angle_alpha 90.00
_cell_angle_beta 90.00
_cell_angle_gamma 90.00
loop_
_atom_site_label
_atom_site_fract_x
_atom_site_fract_y
_atom_site_fract_z
_atom_site_occupancy
Si1 0.0000 0.0000 0.0000 1
Ag1 0.1910 0.3090 0.5000 1
N1 0.2473 0.2527 0.0000 1
```

---

[5]
## SiAgN2 (GGA-PBE)

Data for an optimized crystal structure of SiAgN2.

Summary:
- energy relative to the lowest polymorph listed for this composition (meV per atom) = 0.0
- formation energy (no corrections) (eV/atom) = -0.080
- VASP energy (eV per cell) = -100.983

The structure in CIF format:
```
data_SiAgN2
_symmetry_space_group_name_H-M 'I -4 2 d'
_symmetry_Int_Tables_number 122
_symmetry_space_group_name_Hall 'I -4 2bw'
_cell_length_a 4.8456
_cell_length_b 4.8456
_cell_length_c 8.1110
_cell_angle_alpha 90.00
_cell_angle_beta 90.00
_cell_angle_gamma 90.00
loop_
_atom_site_label
_atom_site_fract_x
_atom_site_fract_y
_atom_site_fract_z
_atom_site_occupancy
Si1 0.0000 0.0000 0.0000 1
Ag1 0.0000 0.0000 0.5000 1
N1 0.1544 0.2500 0.1250 1
```

---

[6]
## Si3AgN (GGA-PBE)

Data for an optimized crystal structure of Si3AgN.

Summary:
- energy relative to the lowest polymorph listed for this composition (meV per atom) = 1382.6
- formation energy (no corrections) (eV/atom) = 2.088
- VASP energy (eV per cell) = -17.006

The structure in CIF format:
```
data_Si3AgN
_symmetry_space_group_name_H-M 'P m -3 m'
_symmetry_Int_Tables_number 221
_symmetry_space_group_name_Hall '-P 4 2 3'
_cell_length_a 4.7813
_cell_length_b 4.7813
_cell_length_c 4.7813
_cell_angle_alpha 90.00
_cell_angle_beta 90.00
_cell_angle_gamma 90.00
loop_
_atom_site_label
_atom_site_fract_x
_atom_site_fract_y
_atom_site_fract_z
_atom_site_occupancy
Si1 0.0000 0.0000 0.5000 1
Ag1 0.0000 0.0000 0.0000 1
N1 0.5000 0.5000 0.5000 1
```

---

In the order shown, the computed size of the total moment values come out to 0.0; 0.0; 0.0; 0.0; 0.9; 0.7 μB/f.u..